A relaxed structure of TmInPd. Source: Alexandria, functional PBEsol.

a b c (Å): 7.4940 7.4940 3.7911
angles (deg): 90.00 90.00 120.00
Last column: nearest neighbours and their distance in Å.
Fractional positions:
1 Tm 0.0000 0.4081 0.0000  5 Pd 2.96-3.06, 6 In 3.13-3.28
2 Tm 0.4081 0.0000 0.0000  5 Pd 2.96-3.06, 6 In 3.13-3.28
3 Tm 0.5919 0.5919 0.0000  5 Pd 2.96-3.06, 6 In 3.13-3.28
4 In 0.0000 0.7400 0.5000  4 Pd 2.72-2.81
5 In 0.2600 0.2600 0.5000  4 Pd 2.72-2.81
6 In 0.7400 0.0000 0.5000  4 Pd 2.72-2.81
7 Pd 0.0000 0.0000 0.0000  6 In 2.72
8 Pd 0.3333 0.6667 0.5000  3 In 2.81, 6 Tm 2.96
9 Pd 0.6667 0.3333 0.5000  3 In 2.81, 6 Tm 2.96

Density of states at the Fermi level in states/eV/cell: 5.974
DFT formation energy in eV per atom: -0.847
Raw total energy in hartree per atom: -0.201